Material: Ti2CuPd6
Method: DFT, PBE
State: optimized geometry

Values from the calculation:
formation energy from the elements	-487	meV/atom
relative energy among the computed polymorphs	0	meV per atom

a b c (Å): 4.1214 5.8068 6.4409
angles (deg): 83.48 71.34 69.21
Atoms (fractional coordinates):
Pd  0.6625  0.1750  0.5000
Pd  0.0198  0.8016  0.1589
Pd  0.6786  0.8016  0.8411
Pd  0.9802  0.1984  0.8411
Pd  0.3214  0.1984  0.1589
Pd  0.3375  0.8250  0.5000
Ti  0.3485  0.5000  0.8029
Ti  0.6515  0.5000  0.1971
Cu  0.0000  0.5000  0.5000